# 1
Entry from Alexandria: Mg2ZrSi after structural relaxation (PBE).

a b c (Å): 4.1765 4.1765 8.8178
angles (deg): 90.00 90.00 90.00
Last column: nearest neighbours and their distance in Å.
Space group I-4m2 (No. 119)
One atom of each set of equivalent atoms:
Mg  0.0000  0.0000  0.0000 (multiplicity 2)  4 Zr 2.95, 4 Mg 3.04, 4 Si 3.04
Mg  0.0000  0.5000  0.2500 (multiplicity 2)  4 Si 2.95, 4 Zr 3.04, 4 Mg 3.04
Zr  0.0000  0.0000  0.5000 (multiplicity 2)  8 Mg 2.95-3.04, 4 Si 3.04
Si  0.0000  0.5000  0.7500 (multiplicity 2)  8 Mg 2.95-3.04, 4 Zr 3.04

Calculated values
The calculation puts the uncorrected energy at -34.91 eV for the cell shown. The uncorrected formation energy comes out at -0.0730 eV per atom. The density of states at the Fermi level is 1.176 states/eV/atom.

=====

# 2
Entry from Alexandria: Mg14ZrSi after structural relaxation (PBE).

a b c (Å): 6.3540 6.3540 10.0460
angles (deg): 90.00 90.00 120.00
Last column: nearest neighbours and their distance in Å.
Space group P-6m2 (No. 187)
One atom of each set of equivalent atoms:
Mg  0.0000  0.0000  0.2410 (multiplicity 2)  12 Mg 3.07-3.18
Mg  0.0143  0.5071  0.2568 (multiplicity 6)  1 Si 3.01, 10 Mg 3.04-3.31, 1 Zr 3.12
Mg  0.3280  0.1640  0.5000 (multiplicity 3)  10 Mg 3.09-3.23, 2 Si 3.18
Mg  0.3439  0.1719  0.0000 (multiplicity 3)  10 Mg 3.07-3.28, 2 Zr 3.18
Zr  0.3333  0.6667  0.0000 (multiplicity 1)  12 Mg 3.12-3.18
Si  0.3333  0.6667  0.5000 (multiplicity 1)  12 Mg 3.01-3.18

Calculated values
The calculation puts the uncorrected energy at -35.94 eV for the cell shown. The uncorrected formation energy comes out at 0.0221 eV per atom. The density of states at the Fermi level is 0.327 states/eV/atom.

=====

# 3
Entry from Alexandria: Mg6ZrSi after structural relaxation (PBE).

a b c (Å): 4.8395 6.3782 10.9045
angles (deg): 90.00 90.00 90.00
Last column: nearest neighbours and their distance in Å.
Space group Amm2 (No. 38)
One atom of each set of equivalent atoms:
Mg  0.0000  0.0000  0.0000 (multiplicity 2)  10 Mg 3.01-3.18, 2 Si 3.19
Mg  0.0000  0.2468  0.7509 (multiplicity 4)  8 Mg 3.00-3.23, 2 Si 3.06-3.26, 2 Zr 3.09
Mg  0.5000  0.0000  0.8361 (multiplicity 2)  10 Mg 3.01-3.17, 2 Zr 3.19
Mg  0.5000  0.2504  0.0877 (multiplicity 4)  8 Mg 3.00-3.19, 2 Zr 3.06-3.25, 2 Si 3.09
Zr  0.5000  0.0000  0.3475 (multiplicity 2)  2 Si 2.87, 8 Mg 3.06-3.19
Si  0.0000  0.0000  0.4892 (multiplicity 2)  2 Zr 2.87, 8 Mg 3.06-3.19

Calculated values
The calculation puts the uncorrected energy at -46.78 eV for the cell shown. The uncorrected formation energy comes out at 0.0187 eV per atom. The density of states at the Fermi level is 0.507 states/eV/atom.

=====

# 4
Entry from Alexandria: Mg2ZrSi after structural relaxation (PBE).

a b c (Å): 5.7138 10.4754 3.0035
angles (deg): 90.00 118.49 90.00
Last column: nearest neighbours and their distance in Å.
Space group C2/m (No. 12)
One atom of each set of equivalent atoms:
Mg  0.2500  0.2500  0.0000 (multiplicity 4)  6 Mg 2.86-3.00, 2 Zr 3.02, 2 Si 3.02
Zr  0.0000  0.0000  0.5000 (multiplicity 2)  4 Si 2.86-3.00, 2 Zr 3.00, 4 Mg 3.02
Si  0.0000  0.5000  0.5000 (multiplicity 2)  4 Zr 2.86-3.00, 2 Si 3.00, 4 Mg 3.02

Calculated values
The calculation puts the uncorrected energy at -35.05 eV for the cell shown. The uncorrected formation energy comes out at -0.0911 eV per atom. The density of states at the Fermi level is 0.621 states/eV/atom.

=====

# 5
Entry from Alexandria: MgZrSi4 after structural relaxation (PBE).

a b c (Å): 7.2086 7.2086 7.2086
angles (deg): 90.00 90.00 90.00
Last column: nearest neighbours and their distance in Å.
Space group F-43m (No. 216)
One atom of each set of equivalent atoms:
Mg  0.0000  0.0000  0.0000 (multiplicity 4)  12 Si 2.99, 4 Zr 3.12
Zr  0.2500  0.2500  0.7500 (multiplicity 4)  12 Si 2.99, 4 Mg 3.12
Si  0.1245  0.1245  0.3755 (multiplicity 16)  6 Si 2.54-2.56

Calculated values
The calculation puts the uncorrected energy at -129.00 eV for the cell shown. The uncorrected formation energy comes out at -0.0691 eV per atom. The density of states at the Fermi level is 0.492 states/eV/atom.

=====

# 6
Entry from Alexandria: Mg2ZrSi after structural relaxation (PBE).

a b c (Å): 3.0620 3.0620 29.8362
angles (deg): 90.00 90.00 120.00
Last column: nearest neighbours and their distance in Å.
Space group R-3m (No. 166, hexagonal axes)
One atom of each set of equivalent atoms:
Mg  0.0000  0.0000  0.2435 (multiplicity 6)  3 Si 2.90, 6 Mg 3.06, 3 Zr 3.21
Zr  0.0000  0.0000  0.0000 (multiplicity 3)  6 Zr 3.06, 6 Mg 3.21
Si  0.0000  0.0000  0.5000 (multiplicity 3)  6 Mg 2.90, 6 Si 3.06

Calculated values
The calculation puts the uncorrected energy at -49.76 eV for the cell shown. The uncorrected formation energy comes out at 0.1437 eV per atom. The density of states at the Fermi level is 1.092 states/eV/atom.